PBE-GGA InRe2Pt, relaxed; density of states at the Fermi level = 4.74 states/eV/f.u.
1.0
4.8268 0.0000 0.0000
0.0000 4.8268 0.0000
0.0000 0.0000 2.8251
In Pt Re
1 1 2
direct
0.5000 0.0000 0.5000
0.0000 0.5000 0.5000
0.0000 0.0000 0.0000
0.5000 0.5000 0.0000

---

PBE-GGA In4RePt, relaxed; density of states at the Fermi level = 6.06 states/eV/f.u.
1.0
0.0000 3.9651 3.9651
3.9651 0.0000 3.9651
3.9651 3.9651 0.0000
In Re Pt
4 1 1
direct
0.8747 0.3751 0.3751
0.3751 0.3751 0.8747
0.3751 0.8747 0.3751
0.3751 0.3751 0.3751
0.0000 0.0000 0.0000
0.7500 0.7500 0.7500

---

PBE-GGA InRe2Pt, relaxed; density of states at the Fermi level = 2.98 states/eV/f.u.
1.0
-0.4820 -4.6026 -8.1852
0.4644 -6.7352 -6.5449
-2.3294 -6.1810 -6.6920
In Pt Re
1 1 2
direct
0.2500 0.2500 0.2500
0.7500 0.7500 0.7500
0.0037 0.0037 0.0037
0.4963 0.4963 0.4963

---

Formation energy values (in meV/atom) by entry order: 615; 999; 379.
Magnetization values (in μB per formula unit) by entry order: 0.00; 0.84; 0.00.